Entry 1:
Here is an optimized crystal structure of USbTe2S from Alexandria. Energies are from PBE.

POSCAR file:
```
USbTe2S
1.0
4.400 0.000 0.000
0.000 4.400 0.000
0.000 0.000 14.916
U Sb Te S
2 2 4 2
Cartesian
1.100 1.100 1.615
3.300 3.300 13.301
1.100 1.100 9.051
3.300 3.300 5.865
1.100 1.100 5.761
1.100 1.100 11.996
3.300 3.300 2.920
3.300 3.300 9.155
1.100 3.300 0.000
3.300 1.100 0.000
```

Properties
As for the formation energy from raw total energies: -0.60 eV/atom. Its crystal system is tetragonal. As for the spin magnetization: 2.44 μB/f.u. The value obtained for the raw total energy is -5.76 eV/atom.

---

Entry 2:
Here is an optimized crystal structure of CeHoCo from Alexandria. Energies are from PBE.

POSCAR file:
```
CeHoCo
1.0
4.573 -2.628 0.000
4.573 2.628 0.000
-3.028 0.000 5.885
Ce Ho Co
2 2 2
Cartesian
0.008 0.000 2.038
6.109 0.000 3.847
3.052 0.000 0.927
3.066 0.000 4.959
0.011 0.000 4.238
6.106 0.000 1.647
```

Properties
As for the formation energy: -0.108 eV per atom. Its crystal system is monoclinic. As for the spin magnetization: 0.00 μB/f.u. The value obtained for the raw total energy is -5.98 eV/atom.

---

Entry 3:
Here is an optimized crystal structure of NaCaTlAg from Alexandria. Energies are from PBE.

POSCAR file:
```
NaCaTlAg
1.0
0.000 3.752 3.752
3.752 0.000 3.752
3.752 3.752 0.000
Na Ca Tl Ag
1 1 1 1
Cartesian
0.000 0.000 0.000
3.752 3.752 3.752
1.876 1.876 1.876
5.628 5.628 5.628
```

Properties
As for the formation energy: -0.161 eV per atom. Its crystal system is cubic. As for the spin magnetization: 0.00 μB/f.u. The value obtained for the raw total energy is -2.30 eV/atom.

---

Entry 4:
Here is an optimized crystal structure of Ir2PtPb from Alexandria. Energies are from PBE.

POSCAR file:
```
Ir2PtPb
1.0
2.904 0.000 0.000
0.000 4.820 0.000
0.000 0.000 4.904
Ir Pt Pb
2 1 1
Cartesian
0.000 0.000 0.000
1.452 0.000 2.452
0.000 2.410 2.452
1.452 2.410 0.000
```

Properties
As for the formation energy: 0.408 eV per atom. Its crystal system is orthorhombic. As for the spin magnetization: 0.00 μB/f.u. The value obtained for the raw total energy is -6.46 eV/atom.

---

Please write out number 4 again, unchanged.
Here is an optimized crystal structure of Ir2PtPb from Alexandria. Energies are from PBE.

POSCAR file:
```
Ir2PtPb
1.0
2.904 0.000 0.000
0.000 4.820 0.000
0.000 0.000 4.904
Ir Pt Pb
2 1 1
Cartesian
0.000 0.000 0.000
1.452 0.000 2.452
0.000 2.410 2.452
1.452 2.410 0.000
```

Properties
As for the formation energy: 0.408 eV per atom. Its crystal system is orthorhombic. As for the spin magnetization: 0.00 μB/f.u. The value obtained for the raw total energy is -6.46 eV/atom.

---

> Which formula does entry 2 have?

CeHoCo

---

Repeat the fourth record exactly.
Here is an optimized crystal structure of Ir2PtPb from Alexandria. Energies are from PBE.

POSCAR file:
```
Ir2PtPb
1.0
2.904 0.000 0.000
0.000 4.820 0.000
0.000 0.000 4.904
Ir Pt Pb
2 1 1
Cartesian
0.000 0.000 0.000
1.452 0.000 2.452
0.000 2.410 2.452
1.452 2.410 0.000
```

Properties
As for the formation energy: 0.408 eV per atom. Its crystal system is orthorhombic. As for the spin magnetization: 0.00 μB/f.u. The value obtained for the raw total energy is -6.46 eV/atom.

---

> Which value of raw total energy does entry 3 give?

-2.30 eV/atom